Entry 1:
Compound: Pt2C2Br
Source: Alexandria via LeMat-Bulk
Functional: PBE-GGA
Structure: relaxed

a = 6.9382 Å, b = 6.9382 Å, c = 6.9382 Å
α = 150.21°, β = 150.21°, γ = 42.63°
Positions (direct):
1 Pt 0.1692 0.1692 0.0000
2 Pt 0.8308 0.8308 0.0000
3 C 0.2500 0.7500 0.5000
4 C 0.7500 0.2500 0.5000
5 Br 0.5000 0.5000 0.0000

Values from the calculation:
Space-group type: I4/mmm
Calculated total energy in Ry/atom: -0.3936



Entry 2:
Compound: PtCBr3
Source: Alexandria via LeMat-Bulk
Functional: PBE-GGA
Structure: relaxed

a = 4.6683 Å, b = 4.6683 Å, c = 4.6683 Å
α = 90.00°, β = 90.00°, γ = 90.00°
Positions (direct):
1 Pt 0.0000 0.0000 0.0000
2 C 0.5000 0.5000 0.5000
3 Br 0.0000 0.5000 0.5000
4 Br 0.5000 0.0000 0.5000
5 Br 0.5000 0.5000 0.0000

Values from the calculation:
Space-group type: Pm-3m
Calculated total energy in Ry/atom: -0.1813



Entry 3:
Compound: Pt3CBr
Source: Alexandria via LeMat-Bulk
Functional: PBE-GGA
Structure: relaxed

a = 4.7414 Å, b = 4.7414 Å, c = 4.7414 Å
α = 90.00°, β = 90.00°, γ = 90.00°
Positions (direct):
1 Pt 0.0000 0.0000 0.5000
2 Pt 0.0000 0.5000 0.0000
3 Pt 0.5000 0.0000 0.0000
4 C 0.5000 0.5000 0.5000
5 Br 0.0000 0.0000 0.0000

Values from the calculation:
Space-group type: Pm-3m
Calculated total energy in Ry/atom: -0.2425



Entry 4:
Compound: Pt2C2Br
Source: Alexandria via LeMat-Bulk
Functional: PBE-GGA
Structure: relaxed

a = 7.0595 Å, b = 7.0595 Å, c = 3.3718 Å
α = 90.00°, β = 90.00°, γ = 90.00°
Positions (direct):
1 Pt 0.1357 0.3643 0.0000
2 Pt 0.3643 0.8643 0.0000
3 Pt 0.6357 0.1357 0.0000
4 Pt 0.8643 0.6357 0.0000
5 C 0.0688 0.5688 0.5000
6 C 0.4312 0.0688 0.5000
7 C 0.5688 0.9312 0.5000
8 C 0.9312 0.4312 0.5000
9 Br 0.0000 0.0000 0.0000
10 Br 0.5000 0.5000 0.0000

Values from the calculation:
Space-group type: P4/mbm
Calculated total energy in Ry/atom: -0.3666



Entry 5:
Compound: Pt2CBr
Source: Alexandria via LeMat-Bulk
Functional: PBE-GGA
Structure: relaxed

a = 4.3965 Å, b = 4.3965 Å, c = 4.3965 Å
α = 60.00°, β = 60.00°, γ = 60.00°
Positions (direct):
1 Pt 0.2500 0.2500 0.2500
2 Pt 0.7500 0.7500 0.7500
3 C 0.0000 0.0000 0.0000
4 Br 0.5000 0.5000 0.5000

Values from the calculation:
Space-group type: Fm-3m
Calculated total energy in Ry/atom: -0.2983



Entry 6:
Compound: Rb2PtCBr6
Source: Alexandria via LeMat-Bulk
Functional: PBE-GGA
Structure: relaxed

a = 7.2992 Å, b = 7.2992 Å, c = 7.2992 Å
α = 120.10°, β = 120.10°, γ = 89.82°
Positions (direct):
1 Rb 0.2500 0.7500 0.5000
2 Rb 0.7500 0.2500 0.5000
3 Pt 0.0000 0.0000 0.0000
4 C 0.5000 0.5000 0.0000
5 Br 0.2526 0.2526 0.5051
6 Br 0.2526 0.7474 0.0000
7 Br 0.2536 0.2536 0.0000
8 Br 0.7464 0.7464 0.0000
9 Br 0.7474 0.2526 0.0000
10 Br 0.7474 0.7474 0.4949

Values from the calculation:
Space-group type: I4/mmm
Calculated total energy in Ry/atom: -0.2211



Entry 7:
Compound: Pt2RhCBr
Source: Alexandria via LeMat-Bulk
Functional: PBE-GGA
Structure: relaxed

a = 4.7208 Å, b = 4.7208 Å, c = 4.6063 Å
α = 90.00°, β = 90.00°, γ = 90.00°
Positions (direct):
1 Pt 0.0000 0.5000 0.0000
2 Pt 0.5000 0.0000 0.0000
3 Rh 0.0000 0.0000 0.5000
4 C 0.5000 0.5000 0.5000
5 Br 0.0000 0.0000 0.0000

Values from the calculation:
Space-group type: P4/mmm
Calculated total energy in Ry/atom: -0.2659



Entry 8:
Compound: Pt2CSBr
Source: Alexandria via LeMat-Bulk
Functional: PBE-GGA
Structure: relaxed

a = 3.8860 Å, b = 3.8860 Å, c = 8.2201 Å
α = 90.00°, β = 90.00°, γ = 90.00°
Positions (direct):
1 Pt 0.0000 0.5000 0.0000
2 Pt 0.5000 0.0000 0.0000
3 C 0.0000 0.0000 0.0000
4 S 0.0000 0.0000 0.5000
5 Br 0.5000 0.5000 0.5000

Values from the calculation:
Space-group type: P4/mmm
Calculated total energy in Ry/atom: -0.3450



Entry 9:
Compound: PtCSeBr2
Source: Alexandria via LeMat-Bulk
Functional: PBE-GGA
Structure: relaxed

a = 4.6645 Å, b = 4.6645 Å, c = 4.3200 Å
α = 90.00°, β = 90.00°, γ = 90.00°
Positions (direct):
1 Pt 0.0000 0.0000 0.0000
2 C 0.5000 0.5000 0.5000
3 Se 0.5000 0.5000 0.0000
4 Br 0.0000 0.5000 0.5000
5 Br 0.5000 0.0000 0.5000

Values from the calculation:
Space-group type: P4/mmm
Calculated total energy in Ry/atom: -0.2121



Entry 10:
Compound: PtCSeBr2
Source: Alexandria via LeMat-Bulk
Functional: PBE-GGA
Structure: relaxed

a = 5.2314 Å, b = 5.2314 Å, c = 4.8281 Å
α = 90.00°, β = 90.00°, γ = 90.00°
Positions (direct):
1 Pt 0.0000 0.0000 0.0000
2 C 0.5000 0.5000 0.5000
3 Se 0.0000 0.0000 0.5000
4 Br 0.0000 0.5000 0.0000
5 Br 0.5000 0.0000 0.0000

Values from the calculation:
Space-group type: P4/mmm
Calculated total energy in Ry/atom: -0.2080



Entry 11:
Compound: ZrPt2CBr
Source: Alexandria via LeMat-Bulk
Functional: PBE-GGA
Structure: relaxed

a = 4.1278 Å, b = 4.1278 Å, c = 4.9497 Å
α = 90.00°, β = 90.00°, γ = 90.00°
Positions (direct):
1 Zr 0.0000 0.0000 0.0000
2 Pt 0.0000 0.5000 0.5000
3 Pt 0.5000 0.0000 0.5000
4 C 0.0000 0.0000 0.5000
5 Br 0.5000 0.5000 0.0000

Values from the calculation:
Space-group type: P4/mmm
Calculated total energy in Ry/atom: -0.4565



Entry 12:
Compound: Pu2CBr2
Source: Alexandria via LeMat-Bulk
Functional: PBE-GGA
Structure: relaxed

a = 11.0704 Å, b = 11.0704 Å, c = 11.0704 Å
α = 19.10°, β = 19.10°, γ = 19.10°
Positions (direct):
1 Pu 0.1243 0.1243 0.1243
2 Pu 0.8757 0.8757 0.8757
3 C 0.5000 0.5000 0.5000
4 Br 0.3939 0.3939 0.3939
5 Br 0.6061 0.6061 0.6061

Values from the calculation:
Space-group type: R-3m
Calculated total energy in Ry/atom: -0.6659



Entry 13:
Compound: Pu3CBr3
Source: Alexandria via LeMat-Bulk
Functional: PBE-GGA
Structure: relaxed

a = 8.4683 Å, b = 3.7629 Å, c = 11.2764 Å
α = 90.00°, β = 91.87°, γ = 90.00°
Positions (direct):
1 Pu 0.0858 0.2500 0.3956
2 Pu 0.1104 0.2500 0.8379
3 Pu 0.3170 0.7500 0.6151
4 Pu 0.6830 0.2500 0.3849
5 Pu 0.8896 0.7500 0.1621
6 Pu 0.9142 0.7500 0.6044
7 C 0.1262 0.2500 0.6200
8 C 0.8738 0.7500 0.3800
9 Br 0.1506 0.2500 0.1203
10 Br 0.3748 0.7500 0.8747
11 Br 0.3811 0.7500 0.3597
12 Br 0.6189 0.2500 0.6403
13 Br 0.6252 0.2500 0.1253
14 Br 0.8494 0.7500 0.8797

Values from the calculation:
Space-group type: P2_1/m
Calculated total energy in Ry/atom: -0.6674



Entry 14:
Compound: Pu4C2Br
Source: Alexandria via LeMat-Bulk
Functional: PBE-GGA
Structure: relaxed

a = 12.6426 Å, b = 12.6426 Å, c = 12.6426 Å
α = 16.12°, β = 16.12°, γ = 16.12°
Positions (direct):
1 Pu 0.1386 0.1386 0.1386
2 Pu 0.2681 0.2681 0.2681
3 Pu 0.7319 0.7319 0.7319
4 Pu 0.8614 0.8614 0.8614
5 C 0.4342 0.4342 0.4342
6 C 0.5658 0.5658 0.5658
7 Br 0.0000 0.0000 0.0000

Values from the calculation:
Space-group type: R-3m
Calculated total energy in Ry/atom: -0.8346



Entry 15:
Compound: Pu3C2Br2
Source: Alexandria via LeMat-Bulk
Functional: PBE-GGA
Structure: relaxed

a = 6.1311 Å, b = 6.1311 Å, c = 7.5462 Å
α = 99.19°, β = 99.19°, γ = 33.67°
Positions (direct):
1 Pu 0.0000 0.0000 0.0000
2 Pu 0.2158 0.2158 0.7956
3 Pu 0.7842 0.7842 0.2044
4 C 0.3586 0.3586 0.0457
5 C 0.6414 0.6414 0.9543
6 Br 0.1168 0.1168 0.3740
7 Br 0.8832 0.8832 0.6260

Values from the calculation:
Space-group type: C2/m
Calculated total energy in Ry/atom: -0.7182



Entry 16:
Compound: SmPuCBr
Source: Alexandria via LeMat-Bulk
Functional: PBE-GGA
Structure: relaxed

a = 7.7759 Å, b = 7.7759 Å, c = 7.7759 Å
α = 27.35°, β = 27.35°, γ = 27.35°
Positions (direct):
1 Sm 0.0000 0.0000 0.0000
2 Pu 0.7885 0.7885 0.7885
3 C 0.3965 0.3965 0.3965
4 Br 0.2294 0.2294 0.2294

Values from the calculation:
Space-group type: R3m
Calculated total energy in Ry/atom: -0.6031



Entry 17:
Compound: RbCBr
Source: Alexandria via LeMat-Bulk
Functional: PBE-GGA
Structure: relaxed

a = 9.5223 Å, b = 2.8666 Å, c = 11.5083 Å
α = 90.00°, β = 90.00°, γ = 90.00°
Positions (direct):
1 Rb 0.2093 0.2500 0.1310
2 Rb 0.2907 0.7500 0.6310
3 Rb 0.7093 0.2500 0.3690
4 Rb 0.7907 0.7500 0.8690
5 C 0.0013 0.2500 0.5005
6 C 0.4987 0.7500 0.0005
7 C 0.5013 0.2500 0.9995
8 C 0.9987 0.7500 0.4995
9 Br 0.1091 0.2500 0.8482
10 Br 0.3909 0.7500 0.3482
11 Br 0.6091 0.2500 0.6518
12 Br 0.8909 0.7500 0.1518

Values from the calculation:
Space-group type: Pnma
Calculated total energy in Ry/atom: -0.2973



Entry 18:
Compound: RbCBr3
Source: Alexandria via LeMat-Bulk
Functional: PBE-GGA
Structure: relaxed

a = 5.0573 Å, b = 5.0573 Å, c = 4.9761 Å
α = 90.00°, β = 90.00°, γ = 90.00°
Positions (direct):
1 Rb 0.0000 0.0000 0.0000
2 C 0.5000 0.5000 0.5000
3 Br 0.0000 0.5000 0.5000
4 Br 0.5000 0.0000 0.5000
5 Br 0.5000 0.5000 0.0000

Values from the calculation:
Space-group type: P4/mmm
Calculated total energy in Ry/atom: -0.2074



Entry 19:
Compound: Rb2ReCBr6
Source: Alexandria via LeMat-Bulk
Functional: PBE-GGA
Structure: relaxed

a = 7.7660 Å, b = 7.7660 Å, c = 7.7660 Å
α = 123.16°, β = 123.16°, γ = 84.60°
Positions (direct):
1 Rb 0.2500 0.7500 0.5000
2 Rb 0.7500 0.2500 0.5000
3 Re 0.0000 0.0000 0.0000
4 C 0.5000 0.5000 0.0000
5 Br 0.2210 0.2210 0.0000
6 Br 0.2484 0.2484 0.4967
7 Br 0.2484 0.7516 0.0000
8 Br 0.7516 0.2484 0.0000
9 Br 0.7516 0.7516 0.5033
10 Br 0.7790 0.7790 0.0000

Values from the calculation:
Space-group type: I4/mmm
Calculated total energy in Ry/atom: -0.2598



Entry 20:
Compound: Rb2CSBr6
Source: Alexandria via LeMat-Bulk
Functional: PBE-GGA
Structure: relaxed

a = 7.3768 Å, b = 7.3768 Å, c = 7.3768 Å
α = 121.70°, β = 121.70°, γ = 87.08°
Positions (direct):
1 Rb 0.2500 0.7500 0.5000
2 Rb 0.7500 0.2500 0.5000
3 C 0.0000 0.0000 0.0000
4 S 0.5000 0.5000 0.0000
5 Br 0.2314 0.2314 0.0000
6 Br 0.2420 0.2420 0.4839
7 Br 0.2420 0.7580 0.0000
8 Br 0.7580 0.2420 0.0000
9 Br 0.7580 0.7580 0.5161
10 Br 0.7686 0.7686 0.0000

Values from the calculation:
Space-group type: I4/mmm
Calculated total energy in Ry/atom: -0.1994